No. 1
8
Lattice="4.4525 0.0000 0.0000 0.0000 4.4525 0.0000 0.0000 0.0000 8.3652" Properties=species:S:1:pos:R:3 comment="PrMgInH PBE optimized geometry" sg="P4/nmm (129)" energy_ev_per_atom=-3.556 pbc="T T T"
Pr 0.0000 2.2262 7.2493
Pr 2.2262 0.0000 1.1159
Mg 0.0000 0.0000 4.1826
Mg 2.2262 2.2262 4.1826
In 2.2262 0.0000 6.1038
In 0.0000 2.2262 2.2614
H 2.2262 2.2262 0.0000
H 0.0000 0.0000 0.0000

***

No. 2
4
Lattice="7.6320 -0.0380 -0.0231 6.5108 3.9822 -0.0231 6.5108 1.8158 3.5442" Properties=species:S:1:pos:R:3 comment="Ca2SiP PBE optimized geometry" sg="R3m (160)" e_form_raw_ev_per_fu=-1.39 pbc="T T T"
Ca 0.7542 0.2103 0.1277
Ca 4.4134 1.2309 0.7475
P 9.4224 2.6278 1.5959
Si 16.3903 4.5711 2.7760

***

No. 3
8
Lattice="4.1011 0.0000 0.0000 0.0000 2.6941 0.0000 0.0000 0.0000 10.4883" Properties=species:S:1:pos:R:3 comment="MnGePN PBE optimized geometry" sg="Amm2 (38)" e_form_raw_ev_per_fu=0.10 pbc="T T T"
Mn 2.0505 0.0000 4.4309
Mn 2.0505 1.3470 9.6750
Ge 0.0000 0.0000 9.7120
Ge 0.0000 1.3470 4.4678
P 2.0505 0.0000 2.2866
P 2.0505 1.3470 7.5308
N 2.0505 0.0000 6.5391
N 2.0505 1.3470 1.2949

***

No. 4
4
Lattice="4.2958 0.0000 0.0000 2.1479 3.7203 0.0000 2.1479 1.2401 4.6795" Properties=species:S:1:pos:R:3 comment="SmMnCu2 PBE optimized geometry" sg="R-3m (166)" formation_energy_ev_per_fu=-0.1 pbc="T T T"
Mn 4.2958 2.4802 2.3397
Cu 6.4438 3.7203 2.8500
Cu 2.1479 1.2401 1.8295
Sm 0.0000 0.0000 0.0000

***

No. 5
9
Lattice="4.6662 0.0000 0.0000 0.0000 4.6662 0.0000 0.0000 0.0000 8.9053" Properties=species:S:1:pos:R:3 comment="SrSmSn2Pd5 PBE optimized geometry" sg="P4/mmm (123)" formation_energy_ev_per_fu=-5.2 pbc="T T T"
Sr 0.0000 0.0000 4.4526
Sm 0.0000 0.0000 0.0000
Sn 2.3331 2.3331 1.4005
Sn 2.3331 2.3331 7.5048
Pd 0.0000 2.3331 2.5208
Pd 2.3331 0.0000 2.5208
Pd 0.0000 2.3331 6.3844
Pd 2.3331 0.0000 6.3844
Pd 2.3331 2.3331 4.4526